No. 1
VASP calculation (PBE-GGA) on an optimized crystal structure of LaErPuTl.

Unit cell a=7.841 b=7.841 c=7.841 alpha=90.00 beta=90.00 gamma=90.00
Space group F-43m (No. 216)
Symmetry-distinct sites (fractional):
La 0.000 0.000 0.000 x4
Er 0.250 0.250 0.750 x4
Pu 0.000 0.000 0.500 x4
Tl 0.250 0.250 0.250 x4

Results
The formation energy is 0.2 eV/f.u. The calculation puts the density of states at the Fermi level at 11.914 states/eV/f.u. The total energy is -6.487 eV/atom. The calculation puts the magnetization at 27.5 μB per cell. The calculated density is 10.4 g/cm³.


No. 2
VASP calculation (PBE-GGA) on an optimized crystal structure of BeHg2P.

Unit cell a=3.742 b=4.850 c=9.322 alpha=90.00 beta=90.00 gamma=90.00
Space group Cmm2 (No. 35)
Symmetry-distinct sites (fractional):
Be 0.000 0.000 0.000 x2
Hg 0.000 0.000 0.580 x2
Hg 0.000 0.500 0.254 x2
P 0.000 0.500 0.905 x2

Results
The formation energy is 1.2 eV/f.u. The calculation puts the density of states at the Fermi level at 1.259 states/eV/f.u. For the energy above the most stable polymorph in this dataset, the calculation gives 272 meV/atom. The total energy is -2.139 eV/atom. The calculation puts the magnetization at 0.0 μB per cell. The calculated density is 8.7 g/cm³.


No. 3
VASP calculation (PBE-GGA) on an optimized crystal structure of Sc5HgRh4.

Unit cell a=3.242 b=3.242 c=16.953 alpha=90.00 beta=90.00 gamma=90.00
Space group P4/mmm (No. 123)
Symmetry-distinct sites (fractional):
Sc 0.000 0.000 0.000 x1
Sc 0.000 0.000 0.191 x2
Sc 0.000 0.000 0.380 x2
Hg 0.500 0.500 0.500 x1
Rh 0.500 0.500 0.095 x2
Rh 0.500 0.500 0.287 x2

Results
The formation energy is -9.0 eV/f.u. The calculation puts the density of states at the Fermi level at 4.345 states/eV/f.u. The total energy is -7.037 eV/atom. The calculation puts the magnetization at 0.0 μB per cell. The calculated density is 7.8 g/cm³.


No. 4
VASP calculation (PBE-GGA) on an optimized crystal structure of YTl5Se4.

Unit cell a=19.075 b=4.279 c=8.725 alpha=90.00 beta=111.04 gamma=90.00
Space group C2/m (No. 12)
Symmetry-distinct sites (fractional):
Y 0.000 0.000 0.000 x2
Tl 0.000 0.000 0.500 x2
Tl 0.155 0.500 0.802 x4
Tl 0.191 0.500 0.313 x4
Se 0.026 0.500 0.241 x4
Se 0.159 0.000 0.046 x4

Results
The total energy is -3.990 eV/atom. As for the energy relative to the elements, uncorrected: -7.7 eV per formula unit. The calculation puts the magnetization at 0.0 μB per cell. The calculated density is 7.1 g/cm³.


No. 5
VASP calculation (PBE-GGA) on an optimized crystal structure of AcScHg6.

Unit cell a=4.843 b=4.843 c=8.848 alpha=90.00 beta=90.00 gamma=90.00
Space group P4/mmm (No. 123)
Symmetry-distinct sites (fractional):
Ac 0.000 0.000 0.000 x1
Sc 0.000 0.000 0.500 x1
Hg 0.000 0.500 0.277 x4
Hg 0.500 0.500 0.000 x1
Hg 0.500 0.500 0.500 x1

Results
The formation energy is -2.1 eV/f.u. The calculation puts the density of states at the Fermi level at 7.414 states/eV/f.u. The total energy is -1.799 eV/atom. The calculation puts the magnetization at 0.0 μB per cell. The calculated density is 11.8 g/cm³.


No. 6
VASP calculation (PBE-GGA) on an optimized crystal structure of Sr2LaMo.

Unit cell a=6.738 b=11.979 c=3.676 alpha=90.00 beta=114.05 gamma=90.00
Space group C2/m (No. 12)
Symmetry-distinct sites (fractional):
Sr 0.250 0.250 0.000 x4
La 0.000 0.000 0.500 x2
Mo 0.000 0.500 0.500 x2

Results
The formation energy is 3.7 eV/f.u. The calculation puts the density of states at the Fermi level at 5.657 states/eV/f.u. For the energy above the most stable polymorph in this dataset, the calculation gives 406 meV/atom. The total energy is -3.854 eV/atom. The calculation puts the magnetization at 5.1 μB per cell. The calculated density is 5.0 g/cm³.


No. 7
VASP calculation (PBE-GGA) on an optimized crystal structure of AcDy5Y12.

Unit cell a=15.221 b=15.240 c=5.065 alpha=90.00 beta=90.00 gamma=90.00
Space group Cmmm (No. 65)
Symmetry-distinct sites (fractional):
Ac 0.000 0.000 0.000 x2
Dy 0.000 0.171 0.500 x4
Dy 0.000 0.334 0.000 x4
Dy 0.000 0.500 0.500 x2
Y 0.165 0.334 0.500 x8
Y 0.165 0.500 0.000 x4
Y 0.168 0.169 0.000 x8
Y 0.171 0.000 0.500 x4

Results
The formation energy is 0.6 eV/f.u. The calculation puts the density of states at the Fermi level at 27.434 states/eV/f.u. The total energy is -5.784 eV/atom. The calculation puts the magnetization at 0.0 μB per cell. The calculated density is 6.0 g/cm³.


No. 8
VASP calculation (PBE-GGA) on an optimized crystal structure of TiAsH2.

Unit cell a=3.781 b=3.781 c=12.177 alpha=90.00 beta=90.00 gamma=90.00
Space group I4_1/amd (No. 141, origin choice 2)
Symmetry-distinct sites (fractional):
Ti 0.000 0.250 0.375 x4
As 0.000 0.250 0.875 x4
H 0.000 0.000 0.500 x8

Results
The calculation puts the density of states at the Fermi level at 2.313 states/eV/f.u. For the energy above the most stable polymorph in this dataset, the calculation gives 343 meV/atom. The total energy is -4.825 eV/atom. The calculation puts the magnetization at 0.0 μB per cell. The calculated density is 4.8 g/cm³.


Question: Which value of magnetization does entry 1 give?
Answer: 27.5 μB per cell